[1]
Here is crystalline Pm4PdRh at its relaxed geometry from Alexandria via LeMat-Bulk. Energies are from GGA-PBE.

As for the formation energy: -0.48 eV/atom. The distance to the lowest polymorph of the same formula is 41 meV per atom. Its total energy is -34.4 eV per cell.

a = 5.845 Å, b = 4.303 Å, c = 7.465 Å
α = 90.00°, β = 108.67°, γ = 90.00°
Fractional positions:
Pm  0.000  0.000  0.000
Pm  0.005  0.000  0.511
Pm  0.465  0.500  0.882
Pm  0.483  0.500  0.396
Pd  0.560  0.000  0.159
Rh  0.928  0.500  0.736

=====

[2]
Here is crystalline Pm5Pd2Rh at its relaxed geometry from Alexandria via LeMat-Bulk. Energies are from GGA-PBE.

As for the formation energy: -0.56 eV/atom. Its total energy is -91.9 eV per cell.

a = 9.274 Å, b = 9.274 Å, c = 9.274 Å
α = 133.11°, β = 133.11°, γ = 68.48°
Fractional positions:
Pm  0.000  0.000  0.000
Pm  0.022  0.522  0.842
Pm  0.179  0.022  0.500
Pm  0.321  0.821  0.842
Pm  0.478  0.321  0.500
Pm  0.500  0.500  0.000
Pm  0.522  0.679  0.500
Pm  0.679  0.179  0.158
Pm  0.821  0.978  0.500
Pm  0.978  0.478  0.158
Pd  0.131  0.369  0.500
Pd  0.369  0.869  0.237
Pd  0.631  0.131  0.763
Pd  0.869  0.631  0.500
Rh  0.250  0.250  0.000
Rh  0.750  0.750  0.000

=====

[3]
Here is crystalline Pm4Pd3Rh at its relaxed geometry from Alexandria via LeMat-Bulk. Energies are from GGA-PBE.

As for the formation energy: -0.81 eV/atom. Its total energy is -48.4 eV per cell.

a = 3.852 Å, b = 4.574 Å, c = 10.787 Å
α = 90.00°, β = 90.00°, γ = 90.00°
Fractional positions:
Pm  0.000  0.000  0.000
Pm  0.000  0.500  0.267
Pm  0.500  0.000  0.485
Pm  0.500  0.500  0.767
Pd  0.000  0.000  0.716
Pd  0.000  0.500  0.547
Pd  0.500  0.500  0.044
Rh  0.500  0.000  0.221

=====

[4]
Here is crystalline PmPd4Rh at its relaxed geometry from Alexandria via LeMat-Bulk. Energies are from GGA-PBE.

As for the formation energy: -0.32 eV/atom. Its total energy is -34.8 eV per cell.

a = 5.320 Å, b = 5.320 Å, c = 5.320 Å
α = 60.00°, β = 60.00°, γ = 60.00°
Fractional positions:
Pm  0.000  0.000  0.000
Pd  0.127  0.624  0.624
Pd  0.624  0.127  0.624
Pd  0.624  0.624  0.127
Pd  0.624  0.624  0.624
Rh  0.250  0.250  0.250

=====

[5]
Here is crystalline Pm5Pd4Rh at its relaxed geometry from Alexandria via LeMat-Bulk. Energies are from GGA-PBE.

As for the formation energy: -0.76 eV/atom. Its total energy is -59.4 eV per cell.

a = 3.551 Å, b = 3.551 Å, c = 18.225 Å
α = 90.00°, β = 90.00°, γ = 90.00°
Fractional positions:
Pm  0.000  0.000  0.000
Pm  0.000  0.000  0.203
Pm  0.000  0.000  0.406
Pm  0.000  0.000  0.594
Pm  0.000  0.000  0.797
Pd  0.500  0.500  0.101
Pd  0.500  0.500  0.301
Pd  0.500  0.500  0.699
Pd  0.500  0.500  0.899
Rh  0.500  0.500  0.500

=====

[6]
Here is crystalline Pm3PdRh8 at its relaxed geometry from Alexandria via LeMat-Bulk. Energies are from GGA-PBE.

As for the formation energy: -0.49 eV/atom. Its total energy is -84.2 eV per cell.

a = 9.261 Å, b = 9.261 Å, c = 9.261 Å
α = 33.51°, β = 33.51°, γ = 33.51°
Fractional positions:
Pm  0.000  0.000  0.000
Pm  0.131  0.131  0.131
Pm  0.517  0.517  0.517
Pd  0.640  0.640  0.640
Rh  0.067  0.568  0.568
Rh  0.070  0.070  0.569
Rh  0.070  0.569  0.070
Rh  0.319  0.319  0.319
Rh  0.568  0.067  0.568
Rh  0.568  0.568  0.067
Rh  0.569  0.070  0.070
Rh  0.819  0.819  0.819

=====

[7]
Here is crystalline Pm6PdRh3 at its relaxed geometry from Alexandria via LeMat-Bulk. Energies are from GGA-PBE.

As for the formation energy: -0.55 eV/atom. Its total energy is -122.5 eV per cell.

a = 9.123 Å, b = 9.123 Å, c = 6.792 Å
α = 90.00°, β = 90.00°, γ = 108.35°
Fractional positions:
Pm  0.030  0.970  0.500
Pm  0.117  0.535  0.922
Pm  0.252  0.748  0.379
Pm  0.277  0.350  0.375
Pm  0.350  0.277  0.875
Pm  0.465  0.883  0.922
Pm  0.535  0.117  0.422
Pm  0.650  0.723  0.375
Pm  0.723  0.650  0.875
Pm  0.748  0.252  0.879
Pm  0.883  0.465  0.422
Pm  0.970  0.030  0.000
Pd  0.154  0.846  0.815
Pd  0.846  0.154  0.315
Rh  0.035  0.268  0.676
Rh  0.268  0.035  0.176
Rh  0.411  0.589  0.102
Rh  0.589  0.411  0.602
Rh  0.732  0.965  0.676
Rh  0.965  0.732  0.176

=====

[8]
Here is crystalline Pm4PdRh2 at its relaxed geometry from Alexandria via LeMat-Bulk. Energies are from GGA-PBE.

As for the formation energy: -0.68 eV/atom. Its total energy is -87.4 eV per cell.

a = 7.685 Å, b = 7.685 Å, c = 7.682 Å
α = 109.20°, β = 109.20°, γ = 109.99°
Fractional positions:
Pm  0.001  0.999  0.500
Pm  0.109  0.488  0.879
Pm  0.377  0.879  0.755
Pm  0.486  0.608  0.375
Pm  0.488  0.109  0.379
Pm  0.608  0.486  0.875
Pm  0.879  0.377  0.255
Pm  0.999  0.001  0.000
Pd  0.619  0.868  0.127
Pd  0.868  0.619  0.627
Rh  0.115  0.743  0.249
Rh  0.243  0.372  0.505
Rh  0.372  0.243  0.005
Rh  0.743  0.115  0.749

=====

[9]
Here is crystalline PmPd2Rh at its relaxed geometry from Alexandria via LeMat-Bulk. Energies are from GGA-PBE.

As for the formation energy: -0.44 eV/atom. The distance to the lowest polymorph of the same formula is 154 meV per atom. Its total energy is -24.3 eV per cell.

a = 4.706 Å, b = 4.706 Å, c = 4.706 Å
α = 60.00°, β = 60.00°, γ = 60.00°
Fractional positions:
Pm  0.000  0.000  0.000
Pd  0.250  0.250  0.250
Pd  0.750  0.750  0.750
Rh  0.500  0.500  0.500

=====

[10]
Here is crystalline Pm12PdRh6 at its relaxed geometry from Alexandria via LeMat-Bulk. Energies are from GGA-PBE.

As for the formation energy: -0.52 eV/atom. The distance to the lowest polymorph of the same formula is 6 meV per atom. Its total energy is -116.1 eV per cell.

a = 8.370 Å, b = 8.370 Å, c = 8.370 Å
α = 100.34°, β = 100.34°, γ = 100.34°
Fractional positions:
Pm  0.055  0.918  0.673
Pm  0.082  0.327  0.945
Pm  0.177  0.575  0.416
Pm  0.327  0.945  0.082
Pm  0.416  0.177  0.575
Pm  0.425  0.584  0.823
Pm  0.575  0.416  0.177
Pm  0.584  0.823  0.425
Pm  0.673  0.055  0.918
Pm  0.823  0.425  0.584
Pm  0.918  0.673  0.055
Pm  0.945  0.082  0.327
Pd  0.000  0.000  0.000
Rh  0.135  0.309  0.616
Rh  0.309  0.616  0.135
Rh  0.384  0.865  0.691
Rh  0.616  0.135  0.309
Rh  0.691  0.384  0.865
Rh  0.865  0.691  0.384

=====

[11]
Here is crystalline Pm7PdRh4 at its relaxed geometry from Alexandria via LeMat-Bulk. Energies are from GGA-PBE.

As for the formation energy: -0.62 eV/atom. Its total energy is -75.2 eV per cell.

a = 7.076 Å, b = 7.076 Å, c = 12.218 Å
α = 104.26°, β = 104.26°, γ = 32.64°
Fractional positions:
Pm  0.000  0.000  0.000
Pm  0.219  0.219  0.860
Pm  0.302  0.302  0.434
Pm  0.508  0.508  0.287
Pm  0.605  0.605  0.596
Pm  0.761  0.761  0.141
Pm  0.917  0.917  0.694
Pd  0.141  0.141  0.225
Rh  0.261  0.261  0.646
Rh  0.375  0.375  0.067
Rh  0.560  0.560  0.837
Rh  0.959  0.959  0.454

=====

[12]
Here is crystalline Pm3Pd2Rh at its relaxed geometry from Alexandria via LeMat-Bulk. Energies are from GGA-PBE.

As for the formation energy: -0.76 eV/atom. The distance to the lowest polymorph of the same formula is 0 meV per atom. Its total energy is -73.0 eV per cell.

a = 5.060 Å, b = 7.105 Å, c = 8.011 Å
α = 90.00°, β = 108.37°, γ = 90.00°
Fractional positions:
Pm  0.000  0.246  0.000
Pm  0.000  0.754  0.000
Pm  0.331  0.244  0.662
Pm  0.331  0.756  0.662
Pm  0.669  0.244  0.338
Pm  0.669  0.756  0.338
Pd  0.165  0.500  0.332
Pd  0.500  0.000  0.000
Pd  0.500  0.500  0.000
Pd  0.835  0.500  0.668
Rh  0.166  0.000  0.332
Rh  0.834  0.000  0.668

=====

[13]
Here is crystalline Pm2Pd4Rh at its relaxed geometry from Alexandria via LeMat-Bulk. Energies are from GGA-PBE.

As for the formation energy: -0.64 eV/atom. Its total energy is -42.1 eV per cell.

a = 5.909 Å, b = 5.909 Å, c = 5.909 Å
α = 122.11°, β = 122.11°, γ = 86.39°
Fractional positions:
Pm  0.000  0.500  0.500
Pm  0.500  0.000  0.500
Pd  0.000  0.000  0.500
Pd  0.000  0.500  0.000
Pd  0.500  0.000  0.000
Pd  0.500  0.500  0.500
Rh  0.000  0.000  0.000

=====

[14]
Here is crystalline PmPd2Rh at its relaxed geometry from Alexandria via LeMat-Bulk. Energies are from GGA-PBE.

As for the formation energy: -0.60 eV/atom. The distance to the lowest polymorph of the same formula is 0 meV per atom. Its total energy is -24.9 eV per cell.

a = 4.150 Å, b = 4.150 Å, c = 4.174 Å
α = 90.00°, β = 90.00°, γ = 90.00°
Fractional positions:
Pm  0.000  0.000  0.000
Pd  0.000  0.500  0.500
Pd  0.500  0.000  0.500
Rh  0.500  0.500  0.000

=====

[15]
Here is crystalline Pm8Pd2Rh3 at its relaxed geometry from Alexandria via LeMat-Bulk. Energies are from GGA-PBE.

As for the formation energy: -0.53 eV/atom. The distance to the lowest polymorph of the same formula is 0 meV per atom. Its total energy is -77.4 eV per cell.

a = 8.677 Å, b = 4.938 Å, c = 8.685 Å
α = 90.00°, β = 109.55°, γ = 90.00°
Fractional positions:
Pm  0.120  0.000  0.379
Pm  0.132  0.500  0.874
Pm  0.373  0.500  0.632
Pm  0.379  0.000  0.122
Pm  0.621  0.000  0.878
Pm  0.627  0.500  0.368
Pm  0.868  0.500  0.126
Pm  0.880  0.000  0.621
Pd  0.247  0.500  0.254
Pd  0.753  0.500  0.746
Rh  0.248  0.000  0.748
Rh  0.500  0.500  0.000
Rh  0.752  0.000  0.252

=====

[16]
Here is crystalline Pm3Pd3Rh at its relaxed geometry from Alexandria via LeMat-Bulk. Energies are from GGA-PBE.

As for the formation energy: -0.74 eV/atom. Its total energy is -42.4 eV per cell.

a = 9.759 Å, b = 9.759 Å, c = 9.759 Å
α = 156.70°, β = 153.93°, γ = 35.24°
Fractional positions:
Pm  0.000  0.000  0.000
Pm  0.368  0.368  0.000
Pm  0.690  0.190  0.500
Pd  0.117  0.617  0.500
Pd  0.531  0.531  0.000
Pd  0.839  0.839  0.000
Rh  0.256  0.756  0.500

=====

[17]
Here is crystalline Pm8PdRh2 at its relaxed geometry from Alexandria via LeMat-Bulk. Energies are from GGA-PBE.

As for the formation energy: -0.41 eV/atom. The distance to the lowest polymorph of the same formula is 0 meV per atom. Its total energy is -62.4 eV per cell.

a = 9.205 Å, b = 9.205 Å, c = 6.902 Å
α = 99.77°, β = 99.77°, γ = 32.31°
Fractional positions:
Pm  0.038  0.038  0.273
Pm  0.200  0.200  0.836
Pm  0.332  0.332  0.534
Pm  0.411  0.411  0.057
Pm  0.589  0.589  0.943
Pm  0.668  0.668  0.466
Pm  0.800  0.800  0.164
Pm  0.962  0.962  0.727
Pd  0.500  0.500  0.500
Rh  0.205  0.205  0.240
Rh  0.795  0.795  0.760

=====

[18]
Here is crystalline Pm8PdRh2 at its relaxed geometry from Alexandria via LeMat-Bulk. Energies are from GGA-PBE.

As for the formation energy: -0.35 eV/atom. The distance to the lowest polymorph of the same formula is 62 meV per atom. Its total energy is -61.7 eV per cell.

a = 7.661 Å, b = 7.661 Å, c = 6.323 Å
α = 100.30°, β = 100.30°, γ = 113.31°
Fractional positions:
Pm  0.000  0.000  0.000
Pm  0.019  0.284  0.582
Pm  0.153  0.579  0.190
Pm  0.284  0.019  0.582
Pm  0.445  0.710  0.802
Pm  0.579  0.153  0.190
Pm  0.710  0.445  0.802
Pm  0.723  0.723  0.375
Pd  0.357  0.357  0.005
Rh  0.051  0.675  0.686
Rh  0.675  0.051  0.686

=====

[19]
Here is crystalline Pm8Pd2Rh at its relaxed geometry from Alexandria via LeMat-Bulk. Energies are from GGA-PBE.

As for the formation energy: -0.41 eV/atom. The distance to the lowest polymorph of the same formula is 0 meV per atom. Its total energy is -60.2 eV per cell.

a = 9.223 Å, b = 9.223 Å, c = 6.907 Å
α = 100.91°, β = 100.91°, γ = 32.52°
Fractional positions:
Pm  0.032  0.032  0.283
Pm  0.202  0.202  0.830
Pm  0.337  0.337  0.529
Pm  0.412  0.412  0.058
Pm  0.588  0.588  0.942
Pm  0.663  0.663  0.471
Pm  0.798  0.798  0.170
Pm  0.968  0.968  0.717
Pd  0.196  0.196  0.240
Pd  0.804  0.804  0.760
Rh  0.500  0.500  0.500

=====

[20]
Here is crystalline Pm12PdRh6 at its relaxed geometry from Alexandria via LeMat-Bulk. Energies are from GGA-PBE.

As for the formation energy: -0.52 eV/atom. The distance to the lowest polymorph of the same formula is 0 meV per atom. Its total energy is -116.3 eV per cell.

a = 8.704 Å, b = 8.704 Å, c = 8.704 Å
α = 109.47°, β = 109.47°, γ = 109.47°
Fractional positions:
Pm  0.116  0.815  0.301
Pm  0.185  0.301  0.486
Pm  0.185  0.699  0.884
Pm  0.301  0.116  0.815
Pm  0.301  0.486  0.185
Pm  0.486  0.185  0.301
Pm  0.514  0.815  0.699
Pm  0.699  0.514  0.815
Pm  0.699  0.884  0.185
Pm  0.815  0.301  0.116
Pm  0.815  0.699  0.514
Pm  0.884  0.185  0.699
Pd  0.000  0.000  0.000
Rh  0.134  0.634  0.500
Rh  0.366  0.500  0.866
Rh  0.500  0.134  0.634
Rh  0.500  0.866  0.366
Rh  0.634  0.500  0.134
Rh  0.866  0.366  0.500

=====

[21]
Here is crystalline Pm3Pd2Rh at its relaxed geometry from Alexandria via LeMat-Bulk. Energies are from GGA-PBE.

As for the formation energy: -0.66 eV/atom. The distance to the lowest polymorph of the same formula is 97 meV per atom. Its total energy is -71.9 eV per cell.

a = 7.192 Å, b = 7.192 Å, c = 8.288 Å
α = 106.75°, β = 106.75°, γ = 48.02°
Fractional positions:
Pm  0.001  0.999  0.750
Pm  0.340  0.344  0.921
Pm  0.344  0.340  0.421
Pm  0.656  0.660  0.579
Pm  0.660  0.656  0.079
Pm  0.999  0.001  0.250
Pd  0.168  0.172  0.585
Pd  0.172  0.168  0.085
Pd  0.828  0.832  0.915
Pd  0.832  0.828  0.415
Rh  0.499  0.501  0.250
Rh  0.501  0.499  0.750